(1)
Density functional theory data (PBE) for a geometry-optimized As2OsBr structure.

abc: 8.554 3.508 6.829
angles: 90.00 107.46 90.00
Space group Cm (No. 8)
Asymmetric unit:
As: 0.000 0.000 0.000 x2
As: 0.150 0.000 0.740 x2
Os: 0.204 0.500 0.016 x2
Br: 0.352 0.000 0.324 x2

Values from the calculation:
Raw formation energy: 0.190 eV/atom
Total moment: 0.000 μB per formula unit

(2)
Density functional theory data (PBE) for a geometry-optimized Sm6Os2Rh structure.

abc: 6.768 7.516 11.652
angles: 90.00 124.13 90.00
Space group P2_1/c (No. 14)
Asymmetric unit:
Sm: 0.079 0.052 0.241 x4
Sm: 0.228 0.671 0.072 x4
Sm: 0.396 0.172 0.068 x4
Os: 0.298 0.117 0.762 x4
Rh: 0.500 0.000 0.500 x2

Values from the calculation:
E_form: -0.216 eV per atom
Total moment: 0.000 μB per formula unit

(3)
Density functional theory data (PBE) for a geometry-optimized CrGeTeRu structure.

abc: 7.432 2.957 7.037
angles: 90.00 91.41 90.00
Space group Cm (No. 8)
Asymmetric unit:
Cr: 0.000 0.000 0.000 x2
Ge: 0.463 0.000 0.365 x2
Te: 0.306 0.000 0.755 x2
Ru: 0.252 0.500 0.160 x2

Values from the calculation:
Raw formation energy: 0.258 eV/atom
Total moment: 0.000 μB per formula unit

(4)
Density functional theory data (PBE) for a geometry-optimized Tb3NdSn structure.

abc: 11.180 3.619 15.422
angles: 90.00 90.00 90.00
Space group Pnma (No. 62)
Asymmetric unit:
Tb: 0.096 0.250 0.068 x4
Tb: 0.121 0.750 0.262 x4
Tb: 0.132 0.750 0.676 x4
Nd: 0.162 0.250 0.462 x4
Sn: 0.124 0.250 0.856 x4

Values from the calculation:
E_form: -0.269 eV per atom
Total moment: 0.000 μB per formula unit

(5)
Density functional theory data (PBE) for a geometry-optimized BaTe4Rh structure.

abc: 9.076 9.076 9.076
angles: 90.00 90.00 90.00
Space group F-43m (No. 216)
Asymmetric unit:
Ba: 0.000 0.000 0.000 x4
Te: 0.124 0.124 0.376 x16
Rh: 0.250 0.250 0.750 x4

Values from the calculation:
Raw formation energy: 0.178 eV/atom
Total moment: 1.067 μB per formula unit

(6)
Density functional theory data (PBE) for a geometry-optimized LiGdHg structure.

abc: 3.765 3.765 9.933
angles: 90.00 90.00 90.00
Space group I4mm (No. 107)
Asymmetric unit:
Li: 0.000 0.000 0.000 x2
Gd: 0.000 0.000 0.311 x2
Hg: 0.000 0.000 0.632 x2

Values from the calculation:
E_form: -0.275 eV per atom
Total moment: 7.320 μB per formula unit

(7)
Density functional theory data (PBE) for a geometry-optimized SnPd5Pt6 structure.

abc: 3.985 8.062 11.825
angles: 90.00 90.00 90.00
Space group Immm (No. 71)
Asymmetric unit:
Sn: 0.000 0.000 0.000 x2
Pd: 0.000 0.000 0.333 x4
Pd: 0.000 0.500 0.000 x2
Pd: 0.000 0.500 0.335 x4
Pt: 0.000 0.246 0.500 x4
Pt: 0.000 0.251 0.168 x8

Values from the calculation:
E_form: -0.168 eV per atom
Total moment: 0.000 μB per formula unit

(8)
Density functional theory data (PBE) for a geometry-optimized Cs3TlAg structure.

abc: 12.467 17.312 5.650
angles: 90.00 90.00 90.00
Space group Cmcm (No. 63)
Asymmetric unit:
Cs: 0.000 0.120 0.250 x4
Cs: 0.188 0.359 0.250 x8
Tl: 0.000 0.453 0.750 x4
Ag: 0.000 0.278 0.750 x4

Values from the calculation:
E_form: 0.002 eV per atom
Total moment: 0.000 μB per formula unit

(9)
Density functional theory data (PBE) for a geometry-optimized YInIr2 structure.

abc: 3.2261 3.2261 25.8734
angles: 90.00 90.00 120.00
Space group R-3m (No. 166, hexagonal axes)
Asymmetric unit:
Y: 0.0000 0.0000 0.0000 x3
In: 0.0000 0.0000 0.5000 x3
Ir: 0.0000 0.0000 0.2488 x6

Values from the calculation:
E_form: -0.029 eV per atom
Total moment: 0.000 μB per formula unit

(10)
Density functional theory data (PBE) for a geometry-optimized La2NdEr3Se6 structure.

abc: 18.305 4.093 8.472
angles: 90.00 105.59 90.00
Space group C2/m (No. 12)
Asymmetric unit:
La: 0.166 0.000 0.331 x4
Nd: 0.000 0.500 0.000 x2
Er: 0.000 0.500 0.500 x2
Er: 0.167 0.000 0.833 x4
Se: 0.006 0.000 0.740 x4
Se: 0.162 0.500 0.595 x4
Se: 0.170 0.500 0.068 x4

Values from the calculation:
Raw formation energy: -1.830 eV/atom
Total moment: 0.011 μB per formula unit

(11)
Density functional theory data (PBE) for a geometry-optimized Cs3ScBi2 structure.

abc: 21.244 5.255 13.085
angles: 90.00 114.22 90.00
Space group C2/m (No. 12)
Asymmetric unit:
Cs: 0.056 0.000 0.223 x4
Cs: 0.171 0.500 0.016 x4
Cs: 0.219 0.000 0.602 x4
Sc: 0.064 0.500 0.649 x4
Bi: 0.088 0.500 0.442 x4
Bi: 0.121 0.000 0.784 x4

Values from the calculation:
E_form: -0.349 eV per atom
Total moment: 0.000 μB per formula unit

(12)
Density functional theory data (PBE) for a geometry-optimized MgTaSe2 structure.

abc: 3.6613 3.6613 24.3753
angles: 90.00 90.00 120.00
Space group R-3m (No. 166, hexagonal axes)
Asymmetric unit:
Mg: 0.0000 0.0000 0.0000 x3
Ta: 0.0000 0.0000 0.5000 x3
Se: 0.0000 0.0000 0.3994 x6

Values from the calculation:
Raw formation energy: -0.071 eV/atom
Total moment: 0.941 μB per formula unit

| no. | volume (Å³ per cell) |
| --- | --- |
| 1 | 195.5 |
| 2 | 490.6 |
| 3 | 154.6 |
| 4 | 623.9 |
| 5 | 747.7 |
| 6 | 140.8 |
| 7 | 379.9 |
| 8 | 1219.5 |
| 9 | 233.2 |
| 10 | 611.4 |
| 11 | 1332.3 |
| 12 | 283.0 |